GaBP2S: relaxed, PBE-GGA. Values from VASP.

Output
electronic total energy = -3.303 eV per atom
symmetry = No. 123
uncorrected formation energy = 1.628 eV per atom
N(E_F) = 4.13 states/eV per cell
calculated density = 2.8 Mg/m³

Geometry as Quantum ESPRESSO input:
```
&SYSTEM
  ibrav = 0, nat = 5, ntyp = 4
/
ATOMIC_SPECIES
B 10.81 B.upf
Ga 69.72 Ga.upf
P 30.97 P.upf
S 32.06 S.upf
CELL_PARAMETERS angstrom
-2.8145 1.4461 3.4324
0.4947 -4.1190 2.1409
3.7636 1.6867 2.3755
ATOMIC_POSITIONS angstrom
B 0.7219 -0.4931 3.9744
Ga 0.0000 0.0000 0.0000
P 0.2473 -2.0595 1.0705
S 1.8818 0.8433 1.1877
P -1.4072 0.7230 1.7162
```

GaBP2S: relaxed, PBE-GGA. Values from VASP.

Output
electronic total energy = -4.204 eV per atom
symmetry = No. 123
uncorrected formation energy = 0.727 eV per atom
N(E_F) = 3.36 states/eV per cell
calculated density = 3.9 Mg/m³

Geometry as Quantum ESPRESSO input:
```
&SYSTEM
  ibrav = 0, nat = 5, ntyp = 4
/
ATOMIC_SPECIES
Ga 69.72 Ga.upf
S 32.06 S.upf
P 30.97 P.upf
B 10.81 B.upf
CELL_PARAMETERS angstrom
-3.0442 -0.4486 -2.8157
2.0641 -3.1883 -1.7236
-2.0247 -2.7292 2.6238
ATOMIC_POSITIONS angstrom
Ga -1.5024 -3.1831 -0.9578
S -1.0123 -1.3646 1.3119
P -1.5221 -0.2243 -1.4079
B 0.0000 0.0000 0.0000
P 1.0321 -1.5942 -0.8618
```

TlGaB2P: relaxed, PBE-GGA. Values from VASP.

Output
electronic total energy = -2.861 eV per atom
symmetry = No. 123
energy of formation from the pure elements = 1971 meV/atom
N(E_F) = 2.84 states/eV per cell
calculated density = 5.0 Mg/m³

Geometry as Quantum ESPRESSO input:
```
&SYSTEM
  ibrav = 0, nat = 5, ntyp = 4
/
ATOMIC_SPECIES
B 10.81 B.upf
P 30.97 P.upf
Tl 204.38 Tl.upf
Ga 69.72 Ga.upf
CELL_PARAMETERS angstrom
-1.0942 -1.6441 3.9139
4.2625 -3.7289 -0.3747
2.6799 2.8671 1.9536
ATOMIC_POSITIONS angstrom
B -0.5471 -0.8220 1.9570
P 2.1312 -1.8644 -0.1873
B 1.3400 1.4336 0.9768
Tl 0.0000 0.0000 0.0000
Ga 2.9241 -1.2529 2.7464
```